No. 1
VASP calculation (PBE-GGA) on a relaxed structure of RePbSe2N.

abc: 5.2194 5.2194 3.7838
angles: 90.00 90.00 90.00
With the nearest neighbours (Å) after each atom.
Fractional coordinates of all 5 atoms:
Pb 0.5000 0.5000 0.5000  8 Se 3.22
N 0.0000 0.0000 0.5000  2 Re 1.89
Se 0.0000 0.5000 0.0000  2 Re 2.61
Re 0.0000 0.0000 0.0000  2 N 1.89
Se 0.5000 0.0000 0.0000  2 Re 2.61

Computed properties:
- N(E_F) (states/eV per atom) = 0.68
- size of the total moment (μB/f.u.) = 0.512
- formation energy (no corrections) (kJ/mol of atoms) = 7.95
- calculated density (g/cm³) = 9.11
- SG = P4/mmm, No. 123

=====

No. 2
VASP calculation (PBE-GGA) on a relaxed structure of LaCeDyTm.

abc: 5.7046 5.7046 5.7046
angles: 60.00 60.00 60.00
With the nearest neighbours (Å) after each atom.
Fractional coordinates of all 4 atoms:
Ce 0.7500 0.7500 0.7500  4 Dy 3.49, 4 Tm 3.49
Tm 0.0000 0.0000 0.0000  4 La 3.49, 4 Ce 3.49
La 0.2500 0.2500 0.2500  4 Dy 3.49, 4 Tm 3.49
Dy 0.5000 0.5000 0.5000  4 Ce 3.49, 4 La 3.49

Computed properties:
- N(E_F) (states/eV per atom) = 2.41
- size of the total moment (μB/f.u.) = 0.621
- calculated density (g/cm³) = 7.72
- energy of formation (meV per atom) = 152
- SG = F-43m, No. 216

=====

No. 3
VASP calculation (PBE-GGA) on a relaxed structure of Y2ZnFe2Rh5.

abc: 3.6748 9.4937 9.4937
angles: 90.00 90.00 90.00
With the nearest neighbours (Å) after each atom.
Fractional coordinates of all 20 atoms:
Rh 0.5000 0.2947 0.5653  2 Fe 2.52, 2 Zn 2.75
Rh 0.5000 0.5000 0.0000  4 Fe 2.46
Rh 0.5000 0.9347 0.2053  2 Fe 2.52, 2 Zn 2.75
Fe 0.0000 0.8780 0.3780  6 Rh 2.46-2.52, 1 Y 2.70
Y 0.0000 0.8230 0.6770  3 Fe 2.70-2.89, 2 Rh 3.00
Fe 0.0000 0.6220 0.8780  6 Rh 2.46-2.52, 1 Y 2.70
Zn 0.0000 0.5000 0.5000  8 Rh 2.75
Rh 0.5000 0.5653 0.7053  2 Fe 2.52, 2 Zn 2.75
Y 0.0000 0.3230 0.8230  3 Fe 2.70-2.89, 2 Rh 3.00
Rh 0.5000 0.7053 0.4347  2 Fe 2.52, 2 Zn 2.75
Fe 0.0000 0.3780 0.1220  6 Rh 2.46-2.52, 1 Y 2.70
Rh 0.5000 0.4347 0.2947  2 Fe 2.52, 2 Zn 2.75
Zn 0.0000 0.0000 0.0000  8 Rh 2.75
Y 0.0000 0.6770 0.1770  3 Fe 2.70-2.89, 2 Rh 3.00
Fe 0.0000 0.1220 0.6220  6 Rh 2.46-2.52, 1 Y 2.70
Y 0.0000 0.1770 0.3230  3 Fe 2.70-2.89, 2 Rh 3.00
Rh 0.5000 0.0000 0.5000  4 Fe 2.46
Rh 0.5000 0.7947 0.9347  2 Fe 2.52, 2 Zn 2.75
Rh 0.5000 0.2053 0.0653  2 Fe 2.52, 2 Zn 2.75
Rh 0.5000 0.0653 0.7947  2 Fe 2.52, 2 Zn 2.75

Computed properties:
- N(E_F) (states/eV per atom) = 0.83
- size of the total moment (μB/f.u.) = 7.118
- calculated density (g/cm³) = 8.72
- energy of formation (meV per atom) = -373
- SG = P4/mbm, No. 127

=====

No. 4
VASP calculation (PBE-GGA) on a relaxed structure of Ba2SmPb2O6.

abc: 6.5429 6.2392 7.3157
angles: 113.63 90.00 121.62
With the nearest neighbours (Å) after each atom.
Fractional coordinates of all 11 atoms:
Ba 0.7079 0.4157 0.1326  5 O 2.57-2.83
Ba 0.2921 0.5843 0.8674  5 O 2.57-2.83
Pb 0.0726 0.1451 0.2447  3 O 2.15-2.23
Pb 0.9274 0.8549 0.7553  3 O 2.15-2.23
O 0.2812 0.5624 0.5089  1 Pb 2.15, 1 Sm 2.36
O 0.1801 0.8532 0.2270  1 Pb 2.23, 1 Sm 2.39
O 0.7188 0.4376 0.4911  1 Pb 2.15, 1 Sm 2.36
Sm 0.5000 0.0000 0.5000  6 O 2.36-2.39
O 0.6732 0.8532 0.2270  1 Pb 2.23, 1 Sm 2.39
O 0.3268 0.1468 0.7730  1 Pb 2.23, 1 Sm 2.39
O 0.8199 0.1468 0.7730  1 Pb 2.23, 1 Sm 2.39

Computed properties:
- N(E_F) (states/eV per atom) = 0.39
- size of the total moment (μB/f.u.) = 0.000
- formation energy (no corrections) (kJ/mol of atoms) = -194.29
- calculated density (g/cm³) = 6.92
- SG = C2/m, No. 12

=====

No. 5
VASP calculation (PBE-GGA) on a relaxed structure of TaTiMo2.

abc: 5.5664 5.5664 4.5000
angles: 89.98 89.98 109.60
With the nearest neighbours (Å) after each atom.
Fractional coordinates of all 8 atoms:
Mo 0.3748 0.1249 0.7501  4 Ti 2.76-2.79, 4 Ta 2.76-2.79
Mo 0.8751 0.6252 0.7499  4 Ti 2.76-2.79, 4 Ta 2.76-2.79
Ta 0.6265 0.3735 0.2500  8 Mo 2.76-2.79
Ti 0.8763 0.1237 0.7500  8 Mo 2.76-2.79
Ti 0.1237 0.8763 0.2500  8 Mo 2.76-2.79
Mo 0.6252 0.8751 0.2499  4 Ti 2.76-2.79, 4 Ta 2.76-2.79
Ta 0.3735 0.6265 0.7500  8 Mo 2.76-2.79
Mo 0.1249 0.3748 0.2501  4 Ti 2.76-2.79, 4 Ta 2.76-2.79

Computed properties:
- N(E_F) (states/eV per atom) = 1.75
- size of the total moment (μB/f.u.) = 0.000
- calculated density (g/cm³) = 10.64
- energy of formation (meV per atom) = -115
- SG = Cmcm, No. 63

=====

No. 6
VASP calculation (PBE-GGA) on a relaxed structure of Li4TiPt5.

abc: 3.0830 3.0830 14.4354
angles: 90.00 90.00 90.00
With the nearest neighbours (Å) after each atom.
Fractional coordinates of all 10 atoms:
Pt 0.5000 0.5000 0.8950  4 Ti 2.65, 4 Li 2.67, 1 Pt 2.86
Pt 0.5000 0.5000 0.3034  8 Li 2.55-2.61, 1 Pt 2.84
Li 0.0000 0.0000 0.2121  8 Pt 2.55-2.67, 1 Li 2.76
Li 0.0000 0.0000 0.4031  8 Pt 2.59-2.61, 2 Li 2.76-2.80
Li 0.0000 0.0000 0.7879  8 Pt 2.55-2.67, 1 Li 2.76
Ti 0.0000 0.0000 0.0000  8 Pt 2.65
Pt 0.5000 0.5000 0.6966  8 Li 2.55-2.61, 1 Pt 2.84
Li 0.0000 0.0000 0.5969  8 Pt 2.59-2.61, 2 Li 2.76-2.80
Pt 0.5000 0.5000 0.5000  8 Li 2.59, 2 Pt 2.84
Pt 0.5000 0.5000 0.1050  4 Ti 2.65, 4 Li 2.67, 1 Pt 2.86

Computed properties:
- N(E_F) (states/eV per atom) = 0.34
- size of the total moment (μB/f.u.) = 0.000
- calculated density (g/cm³) = 12.72
- energy of formation (meV per atom) = -641
- SG = P4/mmm, No. 123

=====

No. 7
VASP calculation (PBE-GGA) on a relaxed structure of HoPa2Tc.

abc: 3.3053 3.3053 8.8757
angles: 90.00 90.00 90.00
With the nearest neighbours (Å) after each atom.
Fractional coordinates of all 4 atoms:
Ho 0.5000 0.5000 0.5000  4 Ho 3.31, 8 Pa 3.53
Pa 0.0000 0.0000 0.2018  4 Tc 2.94
Pa 0.0000 0.0000 0.7982  4 Tc 2.94
Tc 0.5000 0.5000 0.0000  8 Pa 2.94

Computed properties:
- N(E_F) (states/eV per atom) = 2.74
- size of the total moment (μB/f.u.) = 0.003
- calculated density (g/cm³) = 12.42
- energy of formation (meV per atom) = 64
- SG = P4/mmm, No. 123

=====

No. 8
VASP calculation (PBE-GGA) on a relaxed structure of Nd6HoSc3.

abc: 9.7660 9.7660 6.8497
angles: 44.53 44.53 60.00
With the nearest neighbours (Å) after each atom.
Fractional coordinates of all 10 atoms:
Sc 0.4006 0.4006 0.7983  2 Sc 2.83
Nd 0.8995 0.5621 0.3012  1 Ho 3.30, 2 Sc 3.35-3.36
Nd 0.5621 0.2372 0.3012  1 Ho 3.30, 2 Sc 3.35-3.36
Sc 0.6431 0.6431 0.0706  1 Sc 2.83, 1 Ho 3.00
Nd 0.0655 0.3997 0.8010  3 Sc 3.26-3.42
Sc 0.1580 0.1580 0.5260  1 Sc 2.83, 1 Ho 3.01
Ho 0.9004 0.9004 0.2987  2 Sc 3.00-3.01, 3 Nd 3.30
Nd 0.7338 0.0655 0.8010  3 Sc 3.26-3.42
Nd 0.3997 0.7338 0.8010  3 Sc 3.26-3.42
Nd 0.2372 0.8995 0.3012  1 Ho 3.30, 2 Sc 3.35-3.36

Computed properties:
- N(E_F) (states/eV per atom) = 1.88
- size of the total moment (μB/f.u.) = 0.031
- calculated density (g/cm³) = 6.02
- energy of formation (meV per atom) = 177
- SG = R3, No. 146

=====

No. 9
VASP calculation (PBE-GGA) on a relaxed structure of LaPuRhO6.

abc: 5.3052 5.3052 10.8773
angles: 90.00 90.00 120.00
With the nearest neighbours (Å) after each atom.
Fractional coordinates of all 18 atoms:
La 0.0000 0.0000 0.0000  6 O 2.43
O 0.3497 0.9925 0.1427  1 Rh 2.05, 1 Pu 2.10
Rh 0.6667 0.3333 0.7500  6 O 2.05
O 0.6427 0.6503 0.1427  1 Rh 2.05, 1 Pu 2.10
O 0.9925 0.6427 0.8573  1 Rh 2.05, 1 Pu 2.10
O 0.9925 0.3497 0.6427  1 Rh 2.05, 1 Pu 2.10
O 0.3573 0.0075 0.6427  1 Rh 2.05, 1 Pu 2.10
O 0.3573 0.3497 0.8573  1 Rh 2.05, 1 Pu 2.10
Pu 0.6667 0.3333 0.2500  6 O 2.10
O 0.6427 0.9925 0.3573  1 Rh 2.05, 1 Pu 2.10
La 0.0000 0.0000 0.5000  6 O 2.43
O 0.0075 0.3573 0.1427  1 Rh 2.05, 1 Pu 2.10
O 0.3497 0.3573 0.3573  1 Rh 2.05, 1 Pu 2.10
O 0.6503 0.6427 0.6427  1 Rh 2.05, 1 Pu 2.10
Pu 0.3333 0.6667 0.7500  6 O 2.10
Rh 0.3333 0.6667 0.2500  6 O 2.05
O 0.0075 0.6503 0.3573  1 Rh 2.05, 1 Pu 2.10
O 0.6503 0.0075 0.8573  1 Rh 2.05, 1 Pu 2.10

Computed properties:
- N(E_F) (states/eV per atom) = 0.79
- size of the total moment (μB/f.u.) = 2.000
- formation energy (no corrections) (kJ/mol of atoms) = -226.32
- calculated density (g/cm³) = 7.29
- SG = P-31c, No. 163

=====

No. 10
VASP calculation (PBE-GGA) on a relaxed structure of CaInBr2Cl.

abc: 4.3170 9.0085 9.3140
angles: 101.39 90.00 90.00
With the nearest neighbours (Å) after each atom.
Fractional coordinates of all 10 atoms:
Br 0.2500 0.0949 0.3634  2 Ca 2.91
Br 0.7500 0.8218 0.0383  3 Ca 2.95-2.98
Cl 0.2500 0.5602 0.6771  1 Ca 2.70
Ca 0.7500 0.1512 0.1716  1 Cl 2.70, 5 Br 2.91-2.98
Br 0.2500 0.1782 0.9617  3 Ca 2.95-2.98
In 0.2500 0.6844 0.3843  3 Cl 3.06-3.15
In 0.7500 0.3156 0.6157  3 Cl 3.06-3.15
Ca 0.2500 0.8488 0.8284  1 Cl 2.70, 5 Br 2.91-2.98
Cl 0.7500 0.4398 0.3229  1 Ca 2.70
Br 0.7500 0.9051 0.6366  2 Ca 2.91

Computed properties:
- N(E_F) (states/eV per atom) = 0.00
- size of the total moment (μB/f.u.) = 0.000
- formation energy (no corrections) (kJ/mol of atoms) = -150.57
- calculated density (g/cm³) = 3.27
- SG = P2_1/m, No. 11

=====

No. 11
VASP calculation (PBE-GGA) on a relaxed structure of NdGa4Pt2Rh.

abc: 4.2928 4.2928 9.2037
angles: 76.51 76.51 60.00
With the nearest neighbours (Å) after each atom.
Fractional coordinates of all 8 atoms:
Ga 0.5999 0.5999 0.2003  3 Pt 2.61, 1 Rh 2.66
Ga 0.8673 0.8673 0.3980  3 Rh 2.64, 4 Pt 2.65-2.73
Nd 0.0000 0.0000 0.0000  6 Ga 3.05
Rh 0.5000 0.5000 0.5000  8 Ga 2.64-2.66
Ga 0.1327 0.1327 0.6020  3 Rh 2.64, 4 Pt 2.65-2.73
Ga 0.4001 0.4001 0.7997  3 Pt 2.61, 1 Rh 2.66
Pt 0.2354 0.2354 0.2938  7 Ga 2.61-2.73
Pt 0.7646 0.7646 0.7062  7 Ga 2.61-2.73

Computed properties:
- N(E_F) (states/eV per atom) = 0.54
- size of the total moment (μB/f.u.) = 0.000
- calculated density (g/cm³) = 10.76
- energy of formation (meV per atom) = -735
- SG = R-3m, No. 166

=====

No. 12
VASP calculation (PBE-GGA) on a relaxed structure of TaMn2Te6.

abc: 5.1586 7.3411 8.1808
angles: 69.21 71.62 69.43
With the nearest neighbours (Å) after each atom.
Fractional coordinates of all 9 atoms:
Mn 0.8218 0.2648 0.0917  6 Te 2.67-2.80
Mn 0.1782 0.7352 0.9083  6 Te 2.67-2.80
Te 0.6332 0.3068 0.4268  1 Mn 2.70
Te 0.7569 0.6455 0.8406  3 Mn 2.74-2.80
Te 0.9709 0.8470 0.2112  2 Mn 2.67-2.76, 1 Ta 2.79
Te 0.3668 0.6932 0.5732  1 Mn 2.70
Te 0.2431 0.3545 0.1594  3 Mn 2.74-2.80
Ta 0.0000 0.5000 0.5000  8 Te 2.79-3.07
Te 0.0291 0.1530 0.7888  2 Mn 2.67-2.76, 1 Ta 2.79

Computed properties:
- N(E_F) (states/eV per atom) = 0.50
- size of the total moment (μB/f.u.) = 7.292
- formation energy (no corrections) (kJ/mol of atoms) = -1.77
- calculated density (g/cm³) = 6.63
- SG = C2/m, No. 12